Compound: SrSi
Source: Alexandria
Functional: PBE
Structure: relaxed

It has space group Cmcm (No. 63), with a = 4.8238 Å, b = 13.7285 Å, c = 6.7370 Å, α = 90.00°, β = 90.00° and γ = 90.00°. The distinct sites, in fractional coordinates, are Sr at (0.0000, 0.0495, 0.2500), Sr at (0.0000, 0.2253, 0.7500) and Si at (0.0000, 0.4141, 0.0689).

The value obtained for the raw formation energy is -0.4575 eV/atom.

***

Compound: PuThBi2N
Source: Alexandria
Functional: PBE
Structure: relaxed

It has space group P4/nmm (No. 129, origin choice 2), with a = 4.1454 Å, b = 4.1454 Å, c = 15.2728 Å, α = 90.00°, β = 90.00° and γ = 90.00°. The distinct sites, in fractional coordinates, are Pu at (0.2500, 0.2500, 0.0516), Th at (0.2500, 0.2500, 0.5734), Bi at (0.2500, 0.2500, 0.2741), Bi at (0.2500, 0.2500, 0.8384) and N at (0.2500, 0.7500, 0.5000).

The value obtained for the raw formation energy is -0.7537 eV/atom.

***

Compound: RbLi3Ag4F12
Source: Alexandria
Functional: PBE
Structure: relaxed

It has space group Im-3 (No. 204), with a = 8.2196 Å, b = 8.2196 Å, c = 8.2196 Å, α = 90.00°, β = 90.00° and γ = 90.00°. The distinct sites, in fractional coordinates, are Rb at (0.0000, 0.0000, 0.0000), Li at (0.0000, 0.0000, 0.5000), Ag at (0.2500, 0.2500, 0.2500) and F at (0.0000, 0.3211, 0.1709).

The value obtained for the raw formation energy is -1.8116 eV/atom.

***

Compound: UPdAu4
Source: Alexandria
Functional: PBE
Structure: relaxed

It has space group C2/c (No. 15), with a = 5.6263 Å, b = 16.7783 Å, c = 4.9290 Å, α = 90.00°, β = 90.16° and γ = 90.00°. The distinct sites, in fractional coordinates, are U at (0.0000, 0.1203, 0.2500), Pd at (0.0000, 0.3721, 0.7500), Au at (0.2425, 0.4576, 0.2491) and Au at (0.2488, 0.2907, 0.2500).

The calculation puts the excess energy over the best structure of this formula in the dataset at 0.000 eV per atom. The calculated formation energy comes out at -0.18 eV/atom.

***

Compound: Ac3Pm2Pt2
Source: Alexandria
Functional: PBE
Structure: relaxed

It has space group C2/m (No. 12), with a = 13.4279 Å, b = 4.0842 Å, c = 8.9512 Å, α = 90.00°, β = 106.48° and γ = 90.00°. The distinct sites, in fractional coordinates, are Ac at (0.0000, 0.0000, 0.0000), Ac at (0.1245, 0.0000, 0.4297), Pm at (0.1787, 0.5000, 0.8180) and Pt at (0.1671, 0.5000, 0.1709).

The calculated formation energy comes out at -0.66 eV/atom.

***

Compound: TmPaMn2
Source: Alexandria
Functional: PBE
Structure: relaxed

It has space group R-3m (No. 166, hexagonal axes), with a = 4.3335 Å, b = 4.3335 Å, c = 14.2480 Å, α = 90.00°, β = 90.00° and γ = 120.00°. The distinct sites, in fractional coordinates, are Tm at (0.0000, 0.0000, 0.0000), Pa at (0.0000, 0.0000, 0.5000) and Mn at (0.0000, 0.0000, 0.2078).

The calculation puts the excess energy over the best structure of this formula in the dataset at 0.000 eV per atom. The calculated formation energy comes out at 0.04 eV/atom.

***

Compound: Li2P2Au
Source: Alexandria
Functional: PBE
Structure: relaxed

It has space group P4/mbm (No. 127), with a = 7.4380 Å, b = 7.4380 Å, c = 2.6975 Å, α = 90.00°, β = 90.00° and γ = 90.00°. The distinct sites, in fractional coordinates, are Li at (0.1161, 0.3839, 0.0000), P at (0.1875, 0.6875, 0.5000) and Au at (0.0000, 0.0000, 0.0000).

The calculation puts the excess energy over the best structure of this formula in the dataset at 0.331 eV per atom. The calculated formation energy comes out at -0.11 eV/atom.

***

Compound: Nd2Ni2I
Source: Alexandria
Functional: PBE
Structure: relaxed

It has space group Imma (No. 74), with a = 7.4387 Å, b = 17.4940 Å, c = 4.0485 Å, α = 90.00°, β = 90.00° and γ = 90.00°. The distinct sites, in fractional coordinates, are Nd at (0.2500, 0.0961, 0.2500), Ni at (0.0000, 0.0350, 0.7490) and I at (0.0000, 0.2500, 0.0130).

The value obtained for the raw formation energy is -0.5511 eV/atom.

***

Compound: RbBa2Ga2
Source: Alexandria
Functional: PBE
Structure: relaxed

It has space group I4/mmm (No. 139), with a = 4.1451 Å, b = 4.1451 Å, c = 26.9873 Å, α = 90.00°, β = 90.00° and γ = 90.00°. The distinct sites, in fractional coordinates, are Rb at (0.0000, 0.0000, 0.0000), Ba at (0.0000, 0.0000, 0.3531) and Ga at (0.0000, 0.5000, 0.2500).

The calculation puts the excess energy over the best structure of this formula in the dataset at 0.138 eV per atom. The calculated formation energy comes out at 0.01 eV/atom.

***

Compound: MgTePd
Source: Alexandria
Functional: PBE
Structure: relaxed

It has space group C2 (No. 5), with a = 4.4056 Å, b = 7.6403 Å, c = 8.0805 Å, α = 90.00°, β = 90.02° and γ = 90.00°. The distinct sites, in fractional coordinates, are Mg at (0.0007, 0.0000, 0.2824), Te at (0.0000, 0.3329, 0.5000), Te at (0.0000, 0.6661, 0.0000) and Pd at (0.0013, 0.3334, 0.1689).

The value obtained for the raw formation energy is -0.5329 eV/atom.

***

Compound: TbTmSc
Source: Alexandria
Functional: PBE
Structure: relaxed

It has space group P-6m2 (No. 187), with a = 5.4396 Å, b = 5.4396 Å, c = 3.3501 Å, α = 90.00°, β = 90.00° and γ = 120.00°. The distinct sites, in fractional coordinates, are Tb at (0.0000, 0.0000, 0.0000), Tm at (0.6667, 0.3333, 0.5000) and Sc at (0.3333, 0.6667, 0.5000).

The calculation puts the excess energy over the best structure of this formula in the dataset at 0.032 eV per atom. The calculated formation energy comes out at 0.08 eV/atom.

***

Compound: Li2AlGaH
Source: Alexandria
Functional: PBE
Structure: relaxed

It has space group P4/mmm (No. 123), with a = 3.9200 Å, b = 3.9200 Å, c = 4.3349 Å, α = 90.00°, β = 90.00° and γ = 90.00°. The distinct sites, in fractional coordinates, are Li at (0.0000, 0.5000, 0.0000), Al at (0.0000, 0.0000, 0.5000), Ga at (0.5000, 0.5000, 0.5000) and H at (0.5000, 0.5000, 0.0000).

The calculation puts the excess energy over the best structure of this formula in the dataset at 0.056 eV per atom.

***

| no. | electronic total energy (eV/atom) | magnetization (μB per formula unit) |
| --- | --- | --- |
| 1 | -4.01 | 0.000 |
| 2 | -8.32 | 5.970 |
| 3 | -3.84 | 0.000 |
| 4 | -5.11 | 2.501 |
| 5 | -5.50 | 0.000 |
| 6 | -8.04 | 2.289 |
| 7 | -3.70 | 0.000 |
| 8 | -5.08 | 0.000 |
| 9 | -2.17 | 0.000 |
| 10 | -3.84 | 0.000 |
| 11 | -5.07 | 0.001 |
| 12 | -2.89 | 0.000 |